[1]
## SrSm2P2N6 (PBE)

Data for a relaxed structure of SrSm2P2N6.

a b c (Å): 6.040 6.507 5.531
angles (deg): 119.03 78.78 72.36
Fractional coordinates of all 11 atoms:
N  0.380  0.773  0.062
N  0.836  0.486  0.285
N  0.867  0.040  0.232
N  0.164  0.514  0.715
N  0.620  0.227  0.938
N  0.133  0.960  0.768
Sm  0.206  0.559  0.287
Sm  0.794  0.441  0.713
P  0.838  0.202  0.063
P  0.162  0.798  0.937
Sr  0.500  0.000  0.500

Summary:
Calculated total energy in eV/cell: -83.5
Fermi-level density of states in states/eV/atom: 0.000
Calculated density in g cm⁻³: 5.370
Uncorrected formation energy in meV per atom: -1053

***

[2]
## MnReIr (PBE)

Data for a relaxed structure of MnReIr.

a b c (Å): 4.675 4.675 4.675
angles (deg): 146.43 132.05 59.80
Last column: magnetic moment on the atom in μB.
Fractional coordinates of all 3 atoms:
Re  0.668  0.668  0.000  -0.20
Ir  0.999  0.999  0.000  0.08
Mn  0.333  0.333  0.000  2.18

Summary:
Calculated total energy in eV/cell: -30.7
Fermi-level density of states in states/eV/atom: 1.051
Calculated density in g cm⁻³: 17.306
Polymorph energy (0 for the lowest one) in meV per atom: 0
Calculated formation energy in eV/atom: -0.081

***

[3]
## Ba2ReIr (PBE)

Data for a relaxed structure of Ba2ReIr.

a b c (Å): 5.484 5.484 5.484
angles (deg): 60.00 60.00 60.00
Last column: magnetic moment on the atom in μB.
Fractional coordinates of all 4 atoms:
Ir  0.500  0.500  0.500  0.77
Re  0.000  0.000  0.000  2.80
Ba  0.250  0.250  0.250  -0.01
Ba  0.750  0.750  0.750  -0.01

Summary:
Calculated total energy in eV/cell: -20.3
Fermi-level density of states in states/eV/atom: 0.792
Calculated density in g cm⁻³: 9.300
Polymorph energy (0 for the lowest one) in meV per atom: 1102
Calculated formation energy in eV/atom: 1.218

***

[4]
## LaCe2Ge (PBE)

Data for a relaxed structure of LaCe2Ge.

a b c (Å): 4.274 4.274 8.044
angles (deg): 74.60 74.60 60.00
Last column: magnetic moment on the atom in μB.
Fractional coordinates of all 4 atoms:
Ce  0.065  0.065  0.806  0.92
Ce  0.256  0.256  0.232  0.21
La  0.519  0.519  0.442  0.12
Ge  0.660  0.660  0.019  -0.02

Summary:
Calculated total energy in eV/cell: -21.9
Fermi-level density of states in states/eV/atom: 2.848
Calculated density in g cm⁻³: 6.744
Polymorph energy (0 for the lowest one) in meV per atom: 344
Calculated formation energy in eV/atom: -0.121